Here is Sm3H12Pt5 after structural relaxation from Alexandria. Energies are from PBE.

a = 10.432 Å, b = 10.432 Å, c = 10.432 Å
α = 109.47°, β = 109.47°, γ = 109.47°
Fractional coordinates of all 80 atoms:
Sm 0.750 0.375 0.125
Sm 0.875 0.750 0.125
Sm 0.375 0.750 0.625
Sm 0.250 0.125 0.375
Sm 0.875 0.125 0.250
Sm 0.375 0.625 0.250
Sm 0.625 0.375 0.750
Sm 0.125 0.875 0.750
Sm 0.750 0.875 0.625
Sm 0.625 0.250 0.375
Sm 0.125 0.250 0.875
Sm 0.250 0.625 0.875
Pt 0.125 0.375 0.250
Pt 0.000 0.500 0.000
Pt 0.000 0.000 0.000
Pt 0.375 0.250 0.125
Pt 0.500 0.000 0.500
Pt 0.500 0.500 0.000
Pt 0.125 0.750 0.375
Pt 0.750 0.125 0.875
Pt 0.750 0.625 0.375
Pt 0.375 0.125 0.750
Pt 0.625 0.875 0.250
Pt 0.500 0.500 0.500
Pt 0.500 0.000 0.000
Pt 0.000 0.000 0.500
Pt 0.250 0.375 0.625
Pt 0.250 0.875 0.125
Pt 0.000 0.500 0.500
Pt 0.875 0.250 0.625
Pt 0.625 0.750 0.875
Pt 0.875 0.625 0.750
H 0.684 0.101 0.007
H 0.323 0.507 0.406
H 0.993 0.399 0.316
H 0.507 0.184 0.101
H 0.583 0.684 0.677
H 0.993 0.594 0.177
H 0.323 0.816 0.417
H 0.094 0.917 0.101
H 0.594 0.993 0.677
H 0.684 0.583 0.177
H 0.816 0.493 0.399
H 0.823 0.906 0.007
H 0.101 0.684 0.507
H 0.399 0.406 0.083
H 0.083 0.906 0.399
H 0.417 0.101 0.594
H 0.083 0.177 0.184
H 0.493 0.677 0.094
H 0.823 0.917 0.316
H 0.101 0.417 0.094
H 0.399 0.993 0.816
H 0.594 0.601 0.417
H 0.906 0.823 0.507
H 0.816 0.323 0.917
H 0.406 0.399 0.583
H 0.094 0.177 0.493
H 0.184 0.677 0.083
H 0.177 0.083 0.684
H 0.601 0.007 0.184
H 0.899 0.583 0.906
H 0.507 0.323 0.906
H 0.583 0.899 0.406
H 0.917 0.823 0.816
H 0.917 0.094 0.601
H 0.899 0.316 0.493
H 0.177 0.094 0.993
H 0.601 0.594 0.917
H 0.406 0.007 0.323
H 0.316 0.417 0.823
H 0.184 0.507 0.601
H 0.906 0.083 0.899
H 0.677 0.184 0.583
H 0.493 0.816 0.899
H 0.007 0.406 0.823
H 0.417 0.316 0.323
H 0.007 0.601 0.684
H 0.677 0.493 0.594
H 0.316 0.899 0.993

Output
The value obtained for the total energy is -4.55 eV per atom.

=====

Here is ReNiRu2 after structural relaxation from Alexandria. Energies are from PBE.

a = 4.579 Å, b = 4.579 Å, c = 4.579 Å
α = 130.60°, β = 130.60°, γ = 72.46°
Fractional coordinates of all 4 atoms:
Ni 0.250 0.750 0.500
Re 0.750 0.250 0.500
Ru 0.000 0.000 0.000
Ru 0.500 0.500 0.000

Output
The value obtained for the energy of formation from the pure elements is 0.060 eV per atom. Its relative energy among the computed polymorphs is 0.000 eV/f.u. The value obtained for the total energy is -9.14 eV per atom.

=====

Here is V2ZnRh4 after structural relaxation from Alexandria. Energies are from PBE.

a = 4.503 Å, b = 4.503 Å, c = 6.818 Å
α = 70.72°, β = 70.72°, γ = 90.00°
Site moments in Bohr magnetons follow the coordinates.
Fractional coordinates of all 7 atoms:
Zn 0.000 0.000 0.000  0.00
Rh 0.204 0.204 0.591  -0.15
Rh 0.796 0.796 0.409  -0.15
Rh 0.000 0.500 0.000  0.03
Rh 0.500 0.000 0.000  0.03
V 0.379 0.379 0.241  1.07
V 0.621 0.621 0.759  1.07

Output
The value obtained for the energy of formation from the pure elements is 0.615 eV per atom. Its relative energy among the computed polymorphs is 4.885 eV/f.u. The value obtained for the total energy is -6.37 eV per atom.

=====

Here is SrLa4Ag5 after structural relaxation from Alexandria. Energies are from PBE.

a = 3.822 Å, b = 3.822 Å, c = 19.482 Å
α = 90.00°, β = 90.00°, γ = 90.00°
Fractional coordinates of all 10 atoms:
Sr 0.000 0.000 0.000
La 0.000 0.000 0.203
La 0.000 0.000 0.402
La 0.000 0.000 0.598
La 0.000 0.000 0.797
Ag 0.500 0.500 0.109
Ag 0.500 0.500 0.301
Ag 0.500 0.500 0.500
Ag 0.500 0.500 0.699
Ag 0.500 0.500 0.891

Output
The value obtained for the energy of formation from the pure elements is -0.261 eV per atom. The value obtained for the total energy is -3.83 eV per atom.

=====

Here is PrDyEr4S8 after structural relaxation from Alexandria. Energies are from PBE.

a = 8.048 Å, b = 8.048 Å, c = 8.065 Å
α = 60.07°, β = 60.07°, γ = 60.00°
Fractional coordinates of all 14 atoms:
Pr 0.374 0.374 0.877
Dy 0.999 0.999 0.003
Er 0.625 0.625 0.124
Er 0.999 0.503 0.499
Er 0.503 0.999 0.499
Er 0.999 0.999 0.499
S 0.239 0.787 0.735
S 0.787 0.239 0.735
S 0.239 0.239 0.735
S 0.237 0.237 0.289
S 0.755 0.230 0.259
S 0.230 0.755 0.259
S 0.755 0.755 0.259
S 0.757 0.757 0.728

Output
The value obtained for the total energy is -6.25 eV per atom. The value obtained for the energy relative to the elements, uncorrected is -1.9188 eV/atom.

=====

Here is ScW3Cl after structural relaxation from Alexandria. Energies are from PBE.

a = 4.466 Å, b = 4.466 Å, c = 4.466 Å
α = 90.00°, β = 90.00°, γ = 90.00°
Fractional coordinates of all 5 atoms:
Sc 0.500 0.500 0.500
W 0.000 0.500 0.000
W 0.000 0.000 0.500
W 0.500 0.000 0.000
Cl 0.000 0.000 0.000

Output
Its relative energy among the computed polymorphs is 0.000 eV/f.u. The value obtained for the total energy is -8.21 eV per atom. The value obtained for the energy relative to the elements, uncorrected is 1.2015 eV/atom.

=====

Here is TlInTe2N after structural relaxation from Alexandria. Energies are from PBE.

a = 6.028 Å, b = 6.028 Å, c = 4.310 Å
α = 90.00°, β = 90.00°, γ = 90.00°
Site moments in Bohr magnetons follow the coordinates.
Fractional coordinates of all 5 atoms:
N 0.000 0.000 0.500  1.01
Tl 0.000 0.000 0.000  0.00
Te 0.000 0.500 0.000  0.22
Te 0.500 0.000 0.000  0.22
In 0.500 0.500 0.500  0.00

Output
Its relative energy among the computed polymorphs is 1.568 eV/f.u. The value obtained for the total energy is -3.00 eV per atom. The value obtained for the energy relative to the elements, uncorrected is 0.9397 eV/atom.

=====

Here is Ca3Tm after structural relaxation from Alexandria. Energies are from PBE.

a = 3.730 Å, b = 6.566 Å, c = 7.285 Å
α = 116.79°, β = 104.84°, γ = 90.00°
Site moments in Bohr magnetons follow the coordinates.
Fractional coordinates of all 4 atoms:
Ca 0.255 0.588 0.511  0.05
Ca 0.500 0.501 0.000  0.04
Ca 0.745 0.077 0.489  0.05
Tm 0.000 0.000 0.000  0.38

Output
The value obtained for the energy of formation from the pure elements is 0.133 eV per atom. Its relative energy among the computed polymorphs is 0.000 eV/f.u. The value obtained for the total energy is -2.49 eV per atom.

=====

Here is NaGdMgIn after structural relaxation from Alexandria. Energies are from PBE.

a = 5.314 Å, b = 5.314 Å, c = 5.314 Å
α = 60.00°, β = 60.00°, γ = 60.00°
Site moments in Bohr magnetons follow the coordinates.
Fractional coordinates of all 4 atoms:
Na 0.750 0.750 0.750  0.00
Mg 0.000 0.000 0.000  0.00
Gd 0.250 0.250 0.250  7.07
In 0.500 0.500 0.500  -0.01

Output
The value obtained for the energy of formation from the pure elements is -0.127 eV per atom. The value obtained for the total energy is -5.06 eV per atom.

=====

Here is Sr2Li after structural relaxation from Alexandria. Energies are from PBE.

a = 6.275 Å, b = 6.275 Å, c = 7.767 Å
α = 90.00°, β = 90.00°, γ = 120.00°
Fractional coordinates of all 6 atoms:
Li 0.667 0.333 0.750
Li 0.333 0.667 0.250
Sr 0.000 0.000 0.000
Sr 0.000 0.000 0.500
Sr 0.667 0.333 0.250
Sr 0.333 0.667 0.750

Output
The value obtained for the energy of formation from the pure elements is 0.061 eV per atom. Its relative energy among the computed polymorphs is 0.130 eV/f.u. The value obtained for the total energy is -1.70 eV per atom.

=====

Here is LiZn2Cd after structural relaxation from Alexandria. Energies are from PBE.

a = 4.781 Å, b = 4.781 Å, c = 5.026 Å
α = 79.81°, β = 79.81°, γ = 37.25°
Fractional coordinates of all 4 atoms:
Zn 0.003 0.003 0.992
Zn 0.745 0.745 0.778
Li 0.254 0.254 0.238
Cd 0.499 0.499 0.493

Output
The value obtained for the energy of formation from the pure elements is -0.077 eV per atom. The value obtained for the total energy is -1.42 eV per atom.

=====

Here is Ac6Pd2Pt3 after structural relaxation from Alexandria. Energies are from PBE.

a = 4.402 Å, b = 4.402 Å, c = 21.491 Å
α = 84.12°, β = 84.12°, γ = 60.00°
Fractional coordinates of all 11 atoms:
Ac 0.083 0.083 0.751
Ac 0.917 0.917 0.249
Ac 0.195 0.195 0.416
Ac 0.805 0.805 0.584
Ac 0.361 0.361 0.917
Ac 0.639 0.639 0.083
Pd 0.447 0.447 0.660
Pd 0.553 0.553 0.340
Pt 0.000 0.000 0.000
Pt 0.277 0.277 0.169
Pt 0.723 0.723 0.831

Output
The value obtained for the energy of formation from the pure elements is -0.924 eV per atom. The value obtained for the total energy is -5.76 eV per atom.

=====

Here is SbIr2Au after structural relaxation from Alexandria. Energies are from PBE.

a = 2.912 Å, b = 2.912 Å, c = 10.060 Å
α = 90.00°, β = 90.00°, γ = 121.10°
Fractional coordinates of all 4 atoms:
Au 0.500 0.500 0.773
Ir 0.000 0.000 0.015
Ir 0.500 0.500 0.236
Sb 0.000 0.000 0.476

Output
The value obtained for the total energy is -5.77 eV per atom. The value obtained for the energy relative to the elements, uncorrected is 0.5106 eV/atom.

=====

Here is V2Co4Ru after structural relaxation from Alexandria. Energies are from PBE.

a = 3.152 Å, b = 3.152 Å, c = 8.955 Å
α = 100.14°, β = 100.14°, γ = 90.00°
Site moments in Bohr magnetons follow the coordinates.
Fractional coordinates of all 7 atoms:
V 0.590 0.590 0.181  -0.35
V 0.410 0.410 0.819  -0.35
Co 0.146 0.146 0.292  0.36
Co 0.854 0.854 0.708  0.36
Co 0.750 0.250 0.500  1.31
Co 0.250 0.750 0.500  1.31
Ru 0.000 0.000 0.000  0.13

Output
The value obtained for the energy of formation from the pure elements is 0.114 eV per atom. Its relative energy among the computed polymorphs is 0.000 eV/f.u. The value obtained for the total energy is -7.88 eV per atom.

=====

Here is Nd5HoMg3 after structural relaxation from Alexandria. Energies are from PBE.

a = 7.050 Å, b = 9.608 Å, c = 9.608 Å
α = 120.00°, β = 90.00°, γ = 90.00°
Fractional coordinates of all 18 atoms:
Nd 0.000 0.667 0.333
Nd 0.500 0.333 0.667
Nd 0.000 0.333 0.667
Nd 0.500 0.667 0.333
Nd 0.750 0.668 0.668
Nd 0.750 0.000 0.332
Nd 0.750 0.332 0.000
Nd 0.250 0.332 0.332
Nd 0.250 0.000 0.668
Nd 0.250 0.668 0.000
Ho 0.000 0.000 0.000
Ho 0.500 0.000 0.000
Mg 0.750 0.330 0.330
Mg 0.750 0.000 0.670
Mg 0.750 0.670 0.000
Mg 0.250 0.670 0.670
Mg 0.250 0.000 0.330
Mg 0.250 0.330 0.000

Output
The value obtained for the energy of formation from the pure elements is -0.004 eV per atom. The value obtained for the total energy is -3.69 eV per atom.

=====

Here is CeCuSb2 after structural relaxation from Alexandria. Energies are from PBE.

a = 4.384 Å, b = 4.384 Å, c = 9.890 Å
α = 90.00°, β = 90.00°, γ = 90.00°
Site moments in Bohr magnetons follow the coordinates.
Fractional coordinates of all 8 atoms:
Ce 0.500 0.000 0.248  0.63
Ce 0.000 0.500 0.752  0.63
Cu 0.000 0.000 0.000  -0.01
Cu 0.500 0.500 0.000  -0.01
Sb 0.500 0.000 0.842  -0.02
Sb 0.000 0.500 0.158  -0.02
Sb 0.000 0.000 0.500  -0.01
Sb 0.500 0.500 0.500  -0.01

Output
The value obtained for the total energy is -5.23 eV per atom. The value obtained for the energy relative to the elements, uncorrected is -0.6566 eV/atom.

=====

Here is Sm4Al12Cu after structural relaxation from Alexandria. Energies are from PBE.

a = 7.573 Å, b = 7.573 Å, c = 7.573 Å
α = 109.47°, β = 109.47°, γ = 109.47°
Fractional coordinates of all 17 atoms:
Sm 0.000 0.000 0.500
Sm 0.500 0.000 0.000
Sm 0.500 0.500 0.500
Sm 0.000 0.500 0.000
Al 0.000 0.293 0.293
Al 0.000 0.707 0.707
Al 0.707 0.707 0.000
Al 0.293 0.293 0.000
Al 0.293 0.000 0.293
Al 0.707 0.000 0.707
Al 0.500 0.250 0.750
Al 0.500 0.750 0.250
Al 0.750 0.250 0.500
Al 0.250 0.750 0.500
Al 0.750 0.500 0.250
Al 0.250 0.500 0.750
Cu 0.000 0.000 0.000

Output
The value obtained for the energy of formation from the pure elements is -0.427 eV per atom. The value obtained for the total energy is -4.42 eV per atom.

=====

Here is Ac3La2In3 after structural relaxation from Alexandria. Energies are from PBE.

a = 4.626 Å, b = 5.411 Å, c = 11.744 Å
α = 103.32°, β = 101.36°, γ = 90.00°
Fractional coordinates of all 8 atoms:
Ac 0.621 0.621 0.242
Ac 0.379 0.379 0.758
Ac 0.500 0.000 0.000
La 0.736 0.236 0.472
La 0.264 0.764 0.528
In 0.129 0.129 0.259
In 0.000 0.500 0.000
In 0.871 0.871 0.741

Output
The value obtained for the energy of formation from the pure elements is -0.319 eV per atom. The value obtained for the total energy is -4.12 eV per atom.

=====

Here is TlCuC after structural relaxation from Alexandria. Energies are from PBE.

a = 9.602 Å, b = 3.924 Å, c = 3.920 Å
α = 109.03°, β = 78.37°, γ = 118.98°
Fractional coordinates of all 6 atoms:
Tl 0.379 0.135 0.595
Tl 0.674 0.045 0.987
C 0.026 0.741 0.928
C 0.026 0.452 0.640
Cu 0.997 0.883 0.469
Cu 0.054 0.310 0.099

Output
The value obtained for the energy of formation from the pure elements is 0.584 eV per atom. The value obtained for the total energy is -4.64 eV per atom.

=====

Here is ZnHg2BS after structural relaxation from Alexandria. Energies are from PBE.

a = 7.118 Å, b = 3.307 Å, c = 7.118 Å
α = 90.00°, β = 90.00°, γ = 90.00°
Fractional coordinates of all 5 atoms:
S 0.000 0.000 0.000
Zn 0.500 0.500 0.500
B 0.000 0.500 0.000
Hg 0.000 0.000 0.500
Hg 0.500 0.000 0.000

Output
The value obtained for the total energy is -1.82 eV per atom. The value obtained for the energy relative to the elements, uncorrected is 0.7197 eV/atom.